Compound: TmMgTlBi
Source: Alexandria
Functional: GGA-PBE
Structure: optimized geometry

Summary:
Total moment in μB per formula unit: 0.00
Space group: F-43m
Calculated formation energy in eV/atom: -0.19
Crystal system: cubic
Raw total energy in eV/atom: -3.272

a = 5.350 Å, b = 5.350 Å, c = 5.350 Å
α = 60.00°, β = 60.00°, γ = 60.00°
Atoms (fractional coordinates):
Mg 0.250 0.250 0.250
Tl 0.000 0.000 0.000
Tm 0.750 0.750 0.750
Bi 0.500 0.500 0.500


Compound: MgTl2ZnBi2
Source: Alexandria
Functional: GGA-PBE
Structure: optimized geometry

Summary:
Total moment in μB per formula unit: 0.00
Space group: Ibam
Calculated formation energy in eV/atom: -0.06
Crystal system: orthorhombic
Raw total energy in eV/atom: -2.619

a = 6.900 Å, b = 6.931 Å, c = 9.053 Å
α = 112.51°, β = 112.40°, γ = 90.00°
Atoms (fractional coordinates):
Tl 0.081 0.336 0.672
Tl 0.919 0.664 0.328
Tl 0.591 0.836 0.672
Tl 0.409 0.164 0.328
Mg 0.000 0.250 0.000
Mg 0.000 0.750 0.000
Bi 0.154 0.888 0.776
Bi 0.846 0.112 0.224
Bi 0.622 0.388 0.776
Bi 0.378 0.612 0.224
Zn 0.500 0.750 0.000
Zn 0.500 0.250 0.000


Compound: Tm2MgBi
Source: Alexandria
Functional: GGA-PBE
Structure: optimized geometry

Summary:
E above lowest polymorph in eV/atom: 0.3905
Total moment in μB per formula unit: 0.00
Space group: R-3m
Calculated formation energy in eV/atom: 0.04
Crystal system: trigonal
Raw total energy in eV/atom: -3.561

a = 3.486 Å, b = 3.486 Å, c = 11.608 Å
α = 81.36°, β = 81.36°, γ = 60.00°
Atoms (fractional coordinates):
Tm 0.908 0.908 0.275
Tm 0.092 0.092 0.725
Mg 0.500 0.500 0.500
Bi 0.000 0.000 0.000


Compound: TmMgBi
Source: Alexandria
Functional: GGA-PBE
Structure: optimized geometry

Summary:
E above lowest polymorph in eV/atom: 0.0000
Total moment in μB per formula unit: 0.00
Space group: C2/m
Calculated formation energy in eV/atom: -0.31
Crystal system: monoclinic
Raw total energy in eV/atom: -3.624

a = 4.449 Å, b = 4.449 Å, c = 9.094 Å
α = 103.51°, β = 103.51°, γ = 90.35°
Atoms (fractional coordinates):
Tm 0.675 0.675 0.852
Tm 0.325 0.325 0.148
Bi 0.145 0.145 0.789
Bi 0.855 0.855 0.211
Mg 0.734 0.734 0.501
Mg 0.266 0.266 0.499


Compound: Tm2MgBi
Source: Alexandria
Functional: GGA-PBE
Structure: optimized geometry

Summary:
E above lowest polymorph in eV/atom: 0.0070
Total moment in μB per formula unit: 0.00
Space group: Pnma
Calculated formation energy in eV/atom: -0.34
Crystal system: orthorhombic
Raw total energy in eV/atom: -3.945

a = 4.852 Å, b = 8.201 Å, c = 10.982 Å
α = 90.00°, β = 90.00°, γ = 90.00°
Atoms (fractional coordinates):
Bi 0.250 0.353 0.713
Bi 0.250 0.853 0.787
Bi 0.750 0.647 0.287
Bi 0.750 0.147 0.213
Mg 0.750 0.412 0.018
Mg 0.250 0.588 0.982
Mg 0.750 0.912 0.482
Mg 0.250 0.088 0.518
Tm 0.750 0.596 0.755
Tm 0.250 0.157 0.985
Tm 0.750 0.096 0.745
Tm 0.250 0.657 0.515
Tm 0.750 0.843 0.015
Tm 0.250 0.404 0.245
Tm 0.750 0.343 0.485
Tm 0.250 0.904 0.255


Compound: Tm5MgBi4
Source: Alexandria
Functional: GGA-PBE
Structure: optimized geometry

Summary:
Total moment in μB per formula unit: 0.01
Space group: Pmmn
Calculated formation energy in eV/atom: -0.30
Crystal system: orthorhombic
Raw total energy in eV/atom: -4.249

a = 7.383 Å, b = 9.335 Å, c = 9.633 Å
α = 90.00°, β = 90.00°, γ = 90.00°
Atoms (fractional coordinates):
Tm 0.245 0.300 0.800
Tm 0.105 0.000 0.500
Tm 0.755 0.200 0.300
Tm 0.755 0.200 0.700
Tm 0.755 0.800 0.300
Tm 0.245 0.300 0.200
Tm 0.245 0.700 0.200
Tm 0.755 0.800 0.700
Tm 0.895 0.500 0.000
Tm 0.245 0.700 0.800
Bi 0.064 0.000 0.817
Bi 0.424 0.782 0.500
Bi 0.576 0.282 0.000
Bi 0.936 0.500 0.683
Bi 0.064 0.000 0.183
Bi 0.424 0.218 0.500
Bi 0.936 0.500 0.317
Bi 0.576 0.718 0.000
Mg 0.272 0.500 0.500
Mg 0.728 0.000 0.000


Compound: Tm2MgBi
Source: Alexandria
Functional: GGA-PBE
Structure: optimized geometry

Summary:
E above lowest polymorph in eV/atom: 0.1007
Total moment in μB per formula unit: 0.00
Space group: Fm-3m
Calculated formation energy in eV/atom: -0.25
Crystal system: cubic
Raw total energy in eV/atom: -3.851

a = 5.382 Å, b = 5.382 Å, c = 5.382 Å
α = 60.00°, β = 60.00°, γ = 60.00°
Atoms (fractional coordinates):
Mg 0.500 0.500 0.500
Tm 0.750 0.750 0.750
Tm 0.250 0.250 0.250
Bi 0.000 0.000 0.000


Compound: Tm5MgBi2
Source: Alexandria
Functional: GGA-PBE
Structure: optimized geometry

Summary:
Total moment in μB per formula unit: 0.00
Space group: Cmcm
Calculated formation energy in eV/atom: -0.26
Crystal system: orthorhombic
Raw total energy in eV/atom: -4.227

a = 4.081 Å, b = 6.240 Å, c = 18.974 Å
α = 90.00°, β = 90.00°, γ = 109.09°
Atoms (fractional coordinates):
Tm 0.047 0.094 0.398
Tm 0.645 0.290 0.527
Tm 0.047 0.094 0.102
Tm 0.953 0.906 0.602
Tm 0.355 0.710 0.027
Tm 0.423 0.846 0.250
Tm 0.577 0.154 0.750
Tm 0.645 0.290 0.973
Tm 0.953 0.906 0.898
Tm 0.355 0.710 0.473
Mg 0.151 0.302 0.250
Mg 0.849 0.698 0.750
Bi 0.238 0.477 0.854
Bi 0.762 0.523 0.146
Bi 0.238 0.477 0.646
Bi 0.762 0.523 0.354


Compound: Tm7Mg2Bi2
Source: Alexandria
Functional: GGA-PBE
Structure: optimized geometry

Summary:
Total moment in μB per formula unit: 0.00
Space group: Cmmm
Calculated formation energy in eV/atom: 0.11
Crystal system: orthorhombic
Raw total energy in eV/atom: -3.735

a = 6.611 Å, b = 8.784 Å, c = 6.611 Å
α = 90.00°, β = 117.49°, γ = 90.00°
Atoms (fractional coordinates):
Tm 0.500 0.697 0.000
Tm 0.500 0.805 0.500
Tm 0.500 0.195 0.500
Tm 0.500 0.303 0.000
Tm 0.000 0.303 0.500
Tm 0.000 0.697 0.500
Tm 0.000 0.000 0.000
Bi 0.234 0.500 0.234
Bi 0.766 0.500 0.766
Mg 0.271 0.000 0.729
Mg 0.729 0.000 0.271


Compound: Tm4MgBi
Source: Alexandria
Functional: GGA-PBE
Structure: optimized geometry

Summary:
Total moment in μB per formula unit: 0.68
Space group: Cmcm
Calculated formation energy in eV/atom: 0.01
Crystal system: orthorhombic
Raw total energy in eV/atom: -3.880

a = 5.549 Å, b = 6.467 Å, c = 11.164 Å
α = 90.00°, β = 104.39°, γ = 90.00°
Atoms (fractional coordinates):
Mg 0.574 0.822 0.148
Mg 0.426 0.322 0.852
Tm 0.430 0.822 0.859
Tm 0.570 0.322 0.141
Tm 0.708 0.571 0.416
Tm 0.292 0.574 0.584
Tm 0.708 0.074 0.416
Tm 0.292 0.071 0.584
Tm 0.857 0.322 0.713
Tm 0.143 0.822 0.287
Bi 0.151 0.322 0.302
Bi 0.849 0.822 0.698


Compound: TmMgBi
Source: Alexandria
Functional: GGA-PBE
Structure: optimized geometry

Summary:
E above lowest polymorph in eV/atom: 0.0976
Total moment in μB per formula unit: 0.00
Space group: I4mm
Calculated formation energy in eV/atom: -0.21
Crystal system: tetragonal
Raw total energy in eV/atom: -3.527

a = 3.835 Å, b = 3.835 Å, c = 6.179 Å
α = 108.08°, β = 108.08°, γ = 90.00°
Atoms (fractional coordinates):
Mg 0.940 0.940 0.880
Tm 0.617 0.617 0.234
Bi 0.293 0.293 0.586


Compound: TmMgBi3
Source: Alexandria
Functional: GGA-PBE
Structure: optimized geometry

Summary:
Total moment in μB per formula unit: 0.00
Space group: Pbcm
Calculated formation energy in eV/atom: -0.33
Crystal system: orthorhombic
Raw total energy in eV/atom: -3.877

a = 6.501 Å, b = 6.490 Å, c = 13.627 Å
α = 90.00°, β = 90.00°, γ = 90.00°
Atoms (fractional coordinates):
Bi 0.750 0.505 0.269
Bi 0.000 0.250 0.496
Bi 0.500 0.750 0.504
Bi 0.750 0.832 0.083
Bi 0.250 0.995 0.269
Bi 0.750 0.332 0.917
Bi 0.250 0.668 0.083
Bi 0.750 0.005 0.731
Bi 0.250 0.495 0.731
Bi 0.250 0.168 0.917
Bi 0.500 0.250 0.496
Bi 0.000 0.750 0.504
Tm 0.750 0.496 0.680
Tm 0.250 0.004 0.680
Tm 0.250 0.504 0.320
Tm 0.750 0.996 0.320
Mg 0.500 0.250 0.115
Mg 0.000 0.250 0.115
Mg 0.500 0.750 0.885
Mg 0.000 0.750 0.885